First-principles (PBE-GGA) data for Tl2CuNiOs after structural relaxation, as listed in Alexandria via LeMat-Bulk.

Computed properties:
* formation enthalpy at 0 K: 1477 meV per atom
* total magnetization: 0.46 μB per atom
* DFT total energy: -18.455 eV per cell
* calculated volume: 105.3 Å³/cell

Cell lengths 4.8898, 4.8898, 4.4020 Å; angles 90.00, 90.00, 90.00 degrees
Positions (direct):
Tl1 0.0000 0.5000 0.0000
Tl2 0.5000 0.0000 0.0000
Cu1 0.0000 0.0000 0.0000
Ni1 0.0000 0.0000 0.5000
Os1 0.5000 0.5000 0.5000

First-principles (PBE-GGA) data for VCuNi2Os after structural relaxation, as listed in Alexandria via LeMat-Bulk.

Computed properties:
* formation enthalpy at 0 K: 1297 meV per atom
* total magnetization: 0.00 μB per atom
* DFT total energy: -29.524 eV per cell
* calculated volume: 80.5 Å³/cell

Cell lengths 4.2691, 4.2691, 4.4154 Å; angles 90.00, 90.00, 90.00 degrees
Positions (direct):
V1 0.0000 0.0000 0.0000
Cu1 0.5000 0.5000 0.5000
Ni1 0.0000 0.5000 0.0000
Ni2 0.5000 0.0000 0.0000
Os1 0.0000 0.0000 0.5000